Y8TcPd2: optimized geometry, GGA-PBE.

Calculated values
Spin magnetization in μB/cell: 0.0
Calculated total energy in eV/atom: -6.835
Formation energy from the elements in eV per atom: -0.248

Structure (CIF):
```
data_Y8TcPd2
_cell_length_a 8.310
_cell_length_b 13.152
_cell_length_c 5.845
_cell_angle_alpha 90.00
_cell_angle_beta 109.77
_cell_angle_gamma 90.00
_space_group_name_H-M_alt 'C 1 m 1'
_space_group_IT_number 8
loop_
_space_group_symop_operation_xyz
'x,y,z'
'x,-y,z'
'x+1/2,y+1/2,z'
'x+1/2,-y+1/2,z'
loop_
_atom_site_label
_atom_site_type_symbol
_atom_site_fract_x
_atom_site_fract_y
_atom_site_fract_z
Y1 Y 0.000 0.000 0.000
Y2 Y 0.063 0.378 0.763
Y3 Y 0.150 0.122 0.565
Y4 Y 0.217 0.500 0.352
Y5 Y 0.352 0.211 0.173
Tc1 Tc 0.359 0.000 0.289
Pd1 Pd 0.362 0.305 0.682
```